Computed, not measured: crystalline Ce2GaAu at its relaxed geometry at the PBE level of DFT.

Cell: 4.5177 4.5177 4.4474 Å, 90.00 90.00 90.00°
Positions (direct):
Ce 0.0000 0.5000 0.0000
Ce 0.5000 0.0000 0.0000
Ga 0.0000 0.0000 0.5000
Au 0.5000 0.5000 0.5000

Summary:
Crystal system: tetragonal



Computed, not measured: crystalline Ce2GaAu at its relaxed geometry at the PBE level of DFT.

Cell: 6.3278 6.3278 6.3278 Å, 119.85 97.34 112.00°
Positions (direct):
Ce 0.2815 0.0000 0.7815
Ce 0.2815 0.5000 0.2815
Ce 0.7185 0.0000 0.2185
Ce 0.7185 0.5000 0.7185
Ga 0.2033 0.4533 0.7500
Ga 0.7967 0.5467 0.2500
Au 0.1989 0.9489 0.2500
Au 0.8011 0.0511 0.7500

Summary:
Crystal system: orthorhombic



Computed, not measured: crystalline Ce2GaAu at its relaxed geometry at the PBE level of DFT.

Cell: 3.2683 3.2683 8.6342 Å, 90.00 90.00 90.00°
Positions (direct):
Ce 0.0000 0.0000 0.2476
Ce 0.0000 0.0000 0.7524
Ga 0.5000 0.5000 0.0000
Au 0.5000 0.5000 0.5000

Summary:
Crystal system: tetragonal



Computed, not measured: crystalline CeGa3Au5 at its relaxed geometry at the PBE level of DFT.

Cell: 6.5855 6.5855 13.3811 Å, 90.00 90.00 140.63°
Positions (direct):
Ce 0.1974 0.8026 0.7500
Ce 0.8026 0.1974 0.2500
Ga 0.0535 0.9465 0.2500
Ga 0.3583 0.6417 0.5283
Ga 0.3583 0.6417 0.9717
Ga 0.6417 0.3583 0.0283
Ga 0.6417 0.3583 0.4717
Ga 0.9465 0.0535 0.7500
Au 0.0000 0.0000 0.0000
Au 0.0000 0.0000 0.5000
Au 0.2106 0.7894 0.1159
Au 0.2106 0.7894 0.3841
Au 0.4587 0.5413 0.1453
Au 0.4587 0.5413 0.3547
Au 0.5413 0.4587 0.6453
Au 0.5413 0.4587 0.8547
Au 0.7894 0.2106 0.6159
Au 0.7894 0.2106 0.8841

Summary:
Crystal system: orthorhombic



Computed, not measured: crystalline Ce3Ga3Au8 at its relaxed geometry at the PBE level of DFT.

Cell: 8.4620 8.4620 9.0634 Å, 120.80 120.80 32.19°
Positions (direct):
Ce 0.0000 0.0000 0.0000
Ce 0.2933 0.2933 0.2823
Ce 0.7067 0.7067 0.7177
Ga 0.0000 0.0000 0.5000
Ga 0.3338 0.3338 0.6786
Ga 0.6662 0.6662 0.3214
Au 0.1331 0.1331 0.8397
Au 0.1417 0.1417 0.4274
Au 0.3495 0.3495 0.9717
Au 0.4948 0.4948 0.6676
Au 0.5052 0.5052 0.3324
Au 0.6505 0.6505 0.0283
Au 0.8583 0.8583 0.5726
Au 0.8669 0.8669 0.1603

Summary:
Crystal system: monoclinic



Computed, not measured: crystalline Ce3Ga2Au4 at its relaxed geometry at the PBE level of DFT.

Cell: 5.8990 5.8990 8.8364 Å, 113.33 113.33 46.63°
Positions (direct):
Ce 0.0000 0.0000 0.0000
Ce 0.3494 0.3494 0.3258
Ce 0.6506 0.6506 0.6742
Ga 0.3628 0.3628 0.6948
Ga 0.6372 0.6372 0.3052
Au 0.0794 0.0794 0.4026
Au 0.2850 0.2850 0.9376
Au 0.7150 0.7150 0.0624
Au 0.9206 0.9206 0.5974

Summary:
Crystal system: monoclinic



Computed, not measured: crystalline CeGa5Au7 at its relaxed geometry at the PBE level of DFT.

Cell: 7.1670 7.1670 7.1670 Å, 133.78 97.10 100.62°
Positions (direct):
Ce 0.0000 0.0000 0.0000
Ga 0.4846 0.4981 0.5001
Ga 0.4846 0.9845 0.9864
Ga 0.7566 0.2566 0.5000
Ga 0.9980 0.4981 0.0136
Ga 0.9980 0.9845 0.4999
Au 0.1749 0.4792 0.6958
Au 0.2213 0.7213 0.5000
Au 0.3358 0.3358 0.0000
Au 0.3439 0.0061 0.3378
Au 0.6683 0.0061 0.6622
Au 0.6738 0.6738 0.0000
Au 0.7834 0.4792 0.3042

Summary:
Crystal system: orthorhombic



Computed, not measured: crystalline Ce2Ga3Au2 at its relaxed geometry at the PBE level of DFT.

Cell: 9.8319 9.8319 7.2704 Å, 90.00 90.00 154.42°
Positions (direct):
Ce 0.0572 0.9428 0.7500
Ce 0.1574 0.8426 0.2500
Ce 0.8426 0.1574 0.7500
Ce 0.9428 0.0572 0.2500
Ga 0.2269 0.7731 0.7500
Ga 0.4442 0.5558 0.5795
Ga 0.4442 0.5558 0.9205
Ga 0.5558 0.4442 0.0795
Ga 0.5558 0.4442 0.4205
Ga 0.7731 0.2269 0.2500
Au 0.3178 0.6822 0.0536
Au 0.3178 0.6822 0.4464
Au 0.6822 0.3178 0.5536
Au 0.6822 0.3178 0.9464

Summary:
Crystal system: orthorhombic
Excess energy over the best structure of this formula in the dataset: 0 meV/atom



Computed, not measured: crystalline Ce5Ga2Au2 at its relaxed geometry at the PBE level of DFT.

Cell: 8.8756 8.8756 7.7218 Å, 90.00 90.00 51.47°
Positions (direct):
Ce 0.0000 0.0000 0.0000
Ce 0.0476 0.6780 0.6762
Ce 0.1780 0.5476 0.1762
Ce 0.3220 0.9524 0.6762
Ce 0.4524 0.8220 0.1762
Ce 0.5000 0.5000 0.5000
Ce 0.5476 0.1780 0.8238
Ce 0.6780 0.0476 0.3238
Ce 0.8220 0.4524 0.8238
Ce 0.9524 0.3220 0.3238
Ga 0.1167 0.8833 0.3822
Ga 0.3833 0.6167 0.8822
Ga 0.6167 0.3833 0.1178
Ga 0.8833 0.1167 0.6178
Au 0.2145 0.2145 0.0000
Au 0.2855 0.2855 0.5000
Au 0.7145 0.7145 0.5000
Au 0.7855 0.7855 0.0000

Summary:
Crystal system: orthorhombic



Computed, not measured: crystalline Ce3GaAu at its relaxed geometry at the PBE level of DFT.

Cell: 6.0895 6.0895 8.8817 Å, 103.66 103.66 48.91°
Positions (direct):
Ce 0.0243 0.0243 0.3281
Ce 0.2294 0.2294 0.7113
Ce 0.4330 0.4330 0.1276
Ce 0.5670 0.5670 0.8724
Ce 0.7706 0.7706 0.2887
Ce 0.9757 0.9757 0.6719
Ga 0.3762 0.3762 0.4622
Ga 0.6238 0.6238 0.5378
Au 0.1452 0.1452 0.0607
Au 0.8548 0.8548 0.9393

Summary:
Crystal system: monoclinic
Excess energy over the best structure of this formula in the dataset: 0 meV/atom



Computed, not measured: crystalline Ce6Ga3Au at its relaxed geometry at the PBE level of DFT.

Cell: 8.0073 7.5938 10.6729 Å, 90.00 129.86 90.00°
Positions (direct):
Ce 0.9995 0.1256 0.1978
Ce 0.9995 0.3744 0.6978
Ce 0.0005 0.6256 0.3022
Ce 0.0005 0.8744 0.8022
Ce 0.3069 0.1860 0.1438
Ce 0.3069 0.3140 0.6438
Ce 0.3972 0.6297 0.0208
Ce 0.3972 0.8703 0.5208
Ce 0.6028 0.1297 0.4792
Ce 0.6028 0.3703 0.9792
Ce 0.6931 0.6860 0.3562
Ce 0.6931 0.8140 0.8562
Ga 0.2117 0.7020 0.6733
Ga 0.2117 0.7980 0.1733
Ga 0.5000 0.0000 0.0000
Ga 0.5000 0.5000 0.5000
Ga 0.7883 0.2020 0.8267
Ga 0.7883 0.2980 0.3267
Au 0.0000 0.0000 0.5000
Au 0.0000 0.5000 0.0000

Summary:
Crystal system: monoclinic



Computed, not measured: crystalline Ce2Ga3Au2 at its relaxed geometry at the PBE level of DFT.

Cell: 5.6954 5.6954 6.6755 Å, 107.88 107.88 46.95°
Positions (direct):
Ce 0.1510 0.1510 0.2744
Ce 0.8490 0.8490 0.7256
Ga 0.4039 0.4039 0.0760
Ga 0.5000 0.5000 0.5000
Ga 0.5961 0.5961 0.9240
Au 0.1550 0.1550 0.7505
Au 0.8450 0.8450 0.2495

Summary:
Crystal system: monoclinic
Excess energy over the best structure of this formula in the dataset: 5 meV/atom



Computed, not measured: crystalline Ce4Ga3Au at its relaxed geometry at the PBE level of DFT.

Cell: 7.2447 7.2447 7.3639 Å, 112.94 112.94 33.61°
Positions (direct):
Ce 0.1435 0.1435 0.2979
Ce 0.1767 0.1767 0.9522
Ce 0.8233 0.8233 0.0478
Ce 0.8565 0.8565 0.7021
Ga 0.3742 0.3742 0.3878
Ga 0.5000 0.5000 0.0000
Ga 0.6258 0.6258 0.6122
Au 0.0000 0.0000 0.5000

Summary:
Crystal system: monoclinic
Excess energy over the best structure of this formula in the dataset: 211 meV/atom



Computed, not measured: crystalline Ce4GaAu at its relaxed geometry at the PBE level of DFT.

Cell: 5.8917 5.8917 5.8917 Å, 128.59 120.83 82.17°
Positions (direct):
Ce 0.0817 0.8318 0.2499
Ce 0.4181 0.1682 0.2499
Ce 0.5819 0.8318 0.7501
Ce 0.9183 0.1682 0.7501
Ga 0.5000 0.5000 0.0000
Au 0.0000 0.5000 0.5000

Summary:
Crystal system: orthorhombic
Excess energy over the best structure of this formula in the dataset: 54 meV/atom



Computed, not measured: crystalline CeGa3Au4 at its relaxed geometry at the PBE level of DFT.

Cell: 4.4734 4.4734 8.1204 Å, 90.00 90.00 90.00°
Positions (direct):
Ce 0.0000 0.0000 0.0000
Ga 0.0000 0.0000 0.5000
Ga 0.5000 0.5000 0.1516
Ga 0.5000 0.5000 0.8484
Au 0.0000 0.5000 0.3149
Au 0.0000 0.5000 0.6851
Au 0.5000 0.0000 0.3149
Au 0.5000 0.0000 0.6851

Summary:
Crystal system: tetragonal



Computed, not measured: crystalline Ce2GaAu6 at its relaxed geometry at the PBE level of DFT.

Cell: 6.4018 6.4018 5.4857 Å, 90.04 90.04 59.94°
Positions (direct):
Ce 0.1665 0.1665 0.1768
Ce 0.8335 0.8335 0.8232
Ga 0.5000 0.5000 0.0000
Au 0.1362 0.6817 0.3088
Au 0.3178 0.3178 0.6916
Au 0.3183 0.8638 0.6912
Au 0.6817 0.1362 0.3088
Au 0.6822 0.6822 0.3084
Au 0.8638 0.3183 0.6912

Summary:
Crystal system: monoclinic



Computed, not measured: crystalline CeGaAu at its relaxed geometry at the PBE level of DFT.

Cell: 4.7285 4.7285 4.7285 Å, 60.00 60.00 60.00°
Positions (direct):
Ce 0.0000 0.0000 0.0000
Ga 0.5000 0.5000 0.5000
Au 0.7500 0.7500 0.7500

Summary:
Crystal system: cubic



Computed, not measured: crystalline Ce8Ga2Au at its relaxed geometry at the PBE level of DFT.

Cell: 9.1069 9.1069 6.8737 Å, 112.15 112.15 32.45°
Positions (direct):
Ce 0.0000 0.0000 0.1979
Ce 0.0000 0.0000 0.8021
Ce 0.2039 0.2039 0.7031
Ce 0.3518 0.3518 0.0851
Ce 0.3516 0.3516 0.6179
Ce 0.6484 0.6484 0.3821
Ce 0.6482 0.6482 0.9149
Ce 0.7961 0.7961 0.2969
Ga 0.1842 0.1842 0.1840
Ga 0.8158 0.8158 0.8160
Au 0.5000 0.5000 0.5000

Summary:
Crystal system: monoclinic
Excess energy over the best structure of this formula in the dataset: 8 meV/atom



Computed, not measured: crystalline CeGa2Au4 at its relaxed geometry at the PBE level of DFT.

Cell: 10.8665 10.8665 10.8665 Å, 22.45 22.45 22.45°
Positions (direct):
Ce 0.0000 0.0000 0.0000
Ga 0.1931 0.1931 0.1931
Ga 0.8069 0.8069 0.8069
Au 0.1082 0.1082 0.1082
Au 0.2785 0.2785 0.2785
Au 0.7215 0.7215 0.7215
Au 0.8918 0.8918 0.8918

Summary:
Crystal system: trigonal
Excess energy over the best structure of this formula in the dataset: 199 meV/atom



Computed, not measured: crystalline Ce4Ga12Au at its relaxed geometry at the PBE level of DFT.

Cell: 7.6107 7.6107 7.6107 Å, 109.47 109.47 109.47°
Positions (direct):
Ce 0.0000 0.0000 0.5000
Ce 0.0000 0.5000 0.0000
Ce 0.5000 0.0000 0.0000
Ce 0.5000 0.5000 0.5000
Ga 0.0000 0.3057 0.3057
Ga 0.0000 0.6943 0.6943
Ga 0.2500 0.5000 0.7500
Ga 0.2500 0.7500 0.5000
Ga 0.3057 0.0000 0.3057
Ga 0.3057 0.3057 0.0000
Ga 0.5000 0.2500 0.7500
Ga 0.5000 0.7500 0.2500
Ga 0.6943 0.0000 0.6943
Ga 0.6943 0.6943 0.0000
Ga 0.7500 0.2500 0.5000
Ga 0.7500 0.5000 0.2500
Au 0.0000 0.0000 0.0000

Summary:
Crystal system: cubic



Calculated formation energy / eV/atom: -0.5216 -0.5319 -0.5327 -0.3575 -0.5883 -0.7105 -0.2801 -0.5987 -0.4507 -0.4133 -0.2505 -0.5933 -0.2988 -0.3233 -0.4035 -0.5429 -0.5586 -0.2534 -0.2649 -0.5592